No. 1
Material: SmYGaCu
Method: DFT, PBE
State: optimized geometry

CIF file:
```
data_SmYGaCu
_symmetry_space_group_name_H-M 'P 1'
_symmetry_Int_Tables_number 1
_cell_length_a 5.066
_cell_length_b 5.066
_cell_length_c 5.066
_cell_angle_alpha 60.00
_cell_angle_beta 60.00
_cell_angle_gamma 60.00
loop_
_symmetry_equiv_pos_as_xyz
'x,y,z'
loop_
_atom_site_label
_atom_site_type_symbol
_atom_site_fract_x
_atom_site_fract_y
_atom_site_fract_z
Ga1 Ga 0.500 0.500 0.500
Cu1 Cu 0.000 0.000 0.000
Sm1 Sm 0.250 0.250 0.250
Y1 Y 0.750 0.750 0.750
```

As for the crystal system: cubic. The value obtained for the energy of formation from the pure elements is -0.396 eV/atom. The density of states at the Fermi level is 3.7 states/eV/f.u.

=====

No. 2
Material: La3GeIr
Method: DFT, PBE
State: optimized geometry

CIF file:
```
data_La3GeIr
_symmetry_space_group_name_H-M 'P 1'
_symmetry_Int_Tables_number 1
_cell_length_a 4.335
_cell_length_b 10.994
_cell_length_c 12.267
_cell_angle_alpha 90.00
_cell_angle_beta 90.00
_cell_angle_gamma 90.00
loop_
_symmetry_equiv_pos_as_xyz
'x,y,z'
loop_
_atom_site_label
_atom_site_type_symbol
_atom_site_fract_x
_atom_site_fract_y
_atom_site_fract_z
La1 La 0.750 0.701 0.278
Ir1 Ir 0.250 0.184 0.505
La2 La 0.750 0.354 0.456
La3 La 0.250 0.854 0.044
La4 La 0.250 0.954 0.387
La5 La 0.750 0.146 0.956
La6 La 0.750 0.799 0.778
La7 La 0.250 0.201 0.222
La8 La 0.250 0.546 0.887
Ir2 Ir 0.250 0.316 0.005
La9 La 0.250 0.646 0.544
Ge1 Ge 0.750 0.996 0.187
Ir3 Ir 0.750 0.816 0.495
La10 La 0.750 0.046 0.613
La11 La 0.750 0.454 0.113
Ge2 Ge 0.750 0.504 0.687
Ge3 Ge 0.250 0.004 0.813
Ge4 Ge 0.250 0.496 0.313
La12 La 0.250 0.299 0.722
Ir4 Ir 0.750 0.684 0.995
```

Its distance to the lowest polymorph of the same formula is 0.0 meV/atom. As for the crystal system: orthorhombic. The value obtained for the energy of formation from the pure elements is -0.693 eV/atom. The density of states at the Fermi level is 4.8 states/eV/f.u.

=====

No. 3
Material: Sm2ErZn
Method: DFT, PBE
State: optimized geometry

CIF file:
```
data_Sm2ErZn
_symmetry_space_group_name_H-M 'P 1'
_symmetry_Int_Tables_number 1
_cell_length_a 3.620
_cell_length_b 3.620
_cell_length_c 8.626
_cell_angle_alpha 90.00
_cell_angle_beta 90.00
_cell_angle_gamma 90.00
loop_
_symmetry_equiv_pos_as_xyz
'x,y,z'
loop_
_atom_site_label
_atom_site_type_symbol
_atom_site_fract_x
_atom_site_fract_y
_atom_site_fract_z
Sm1 Sm 0.000 0.000 0.789
Sm2 Sm 0.000 0.000 0.211
Zn1 Zn 0.500 0.500 0.000
Er1 Er 0.500 0.500 0.500
```

Its distance to the lowest polymorph of the same formula is 12.3 meV/atom. As for the crystal system: tetragonal. The value obtained for the energy of formation from the pure elements is -0.145 eV/atom. The density of states at the Fermi level is 3.7 states/eV/f.u.

=====

No. 4
Material: CaRe4Tc
Method: DFT, PBE
State: optimized geometry

CIF file:
```
data_CaRe4Tc
_symmetry_space_group_name_H-M 'P 1'
_symmetry_Int_Tables_number 1
_cell_length_a 5.254
_cell_length_b 5.254
_cell_length_c 5.254
_cell_angle_alpha 60.00
_cell_angle_beta 60.00
_cell_angle_gamma 60.00
loop_
_symmetry_equiv_pos_as_xyz
'x,y,z'
loop_
_atom_site_label
_atom_site_type_symbol
_atom_site_fract_x
_atom_site_fract_y
_atom_site_fract_z
Re1 Re 0.375 0.375 0.375
Re2 Re 0.375 0.876 0.375
Re3 Re 0.375 0.375 0.876
Ca1 Ca 0.000 0.000 0.000
Tc1 Tc 0.750 0.750 0.750
Re4 Re 0.876 0.375 0.375
```

As for the crystal system: cubic. The value obtained for the energy of formation from the pure elements is 0.389 eV/atom. The density of states at the Fermi level is 6.2 states/eV/f.u.

=====

Q: Look up the energy of formation from the pure elements of the second one.
A: -0.693 eV/atom

=====

Please write out number 2 again, unchanged.
Material: La3GeIr
Method: DFT, PBE
State: optimized geometry

CIF file:
```
data_La3GeIr
_symmetry_space_group_name_H-M 'P 1'
_symmetry_Int_Tables_number 1
_cell_length_a 4.335
_cell_length_b 10.994
_cell_length_c 12.267
_cell_angle_alpha 90.00
_cell_angle_beta 90.00
_cell_angle_gamma 90.00
loop_
_symmetry_equiv_pos_as_xyz
'x,y,z'
loop_
_atom_site_label
_atom_site_type_symbol
_atom_site_fract_x
_atom_site_fract_y
_atom_site_fract_z
La1 La 0.750 0.701 0.278
Ir1 Ir 0.250 0.184 0.505
La2 La 0.750 0.354 0.456
La3 La 0.250 0.854 0.044
La4 La 0.250 0.954 0.387
La5 La 0.750 0.146 0.956
La6 La 0.750 0.799 0.778
La7 La 0.250 0.201 0.222
La8 La 0.250 0.546 0.887
Ir2 Ir 0.250 0.316 0.005
La9 La 0.250 0.646 0.544
Ge1 Ge 0.750 0.996 0.187
Ir3 Ir 0.750 0.816 0.495
La10 La 0.750 0.046 0.613
La11 La 0.750 0.454 0.113
Ge2 Ge 0.750 0.504 0.687
Ge3 Ge 0.250 0.004 0.813
Ge4 Ge 0.250 0.496 0.313
La12 La 0.250 0.299 0.722
Ir4 Ir 0.750 0.684 0.995
```

Its distance to the lowest polymorph of the same formula is 0.0 meV/atom. As for the crystal system: orthorhombic. The value obtained for the energy of formation from the pure elements is -0.693 eV/atom. The density of states at the Fermi level is 4.8 states/eV/f.u.

=====

Q: What is the formula in the second record?
A: La3GeIr